No. 1
This record from OQMD describes a geometry-optimized NbTl3Se3S structure. The functional is PBE.

```
data_NbTl3Se3S
_chemical_formula_sum 'Nb3 Tl9 Se9 S3'
_space_group_name_H-M_alt 'R 3 m'
_space_group_IT_number 160
_space_group_name_Hall 'R 3 -2"'
_cell_length_a 11.2908
_cell_length_b 11.2908
_cell_length_c 6.8713
_cell_angle_alpha 90.00
_cell_angle_beta 90.00
_cell_angle_gamma 120.00
loop_
_atom_site_label
_atom_site_type_symbol
_atom_site_fract_x
_atom_site_fract_y
_atom_site_fract_z
Nb1 Nb 0.0000 0.0000 0.0000
Tl1 Tl 0.1690 0.3380 0.3280
Se1 Se 0.2161 0.4322 0.7840
S1 S 0.0000 0.0000 0.6693
```

Computed properties:
Its final energy is -0.337 Ry per atom.

No. 2
This record from OQMD describes a geometry-optimized NbTlSeS structure. The functional is PBE.

```
data_NbTlSeS
_chemical_formula_sum 'Nb2 Tl2 Se2 S2'
_space_group_name_H-M_alt 'P -6 m 2'
_space_group_IT_number 187
_space_group_name_Hall 'P -6 2'
_cell_length_a 3.4253
_cell_length_b 3.4253
_cell_length_c 18.0123
_cell_angle_alpha 90.00
_cell_angle_beta 90.00
_cell_angle_gamma 120.00
loop_
_atom_site_label
_atom_site_type_symbol
_atom_site_fract_x
_atom_site_fract_y
_atom_site_fract_z
Nb1 Nb 0.0000 0.0000 0.2410
Tl1 Tl 0.3333 0.6667 0.0000
Tl2 Tl 0.6667 0.3333 0.5000
Se1 Se 0.3333 0.6667 0.3373
S1 S 0.6667 0.3333 0.1555
```

Computed properties:
Its final energy is -0.420 Ry per atom.

No. 3
This record from OQMD describes a geometry-optimized NbTl3SeS3 structure. The functional is PBE.

```
data_NbTl3SeS3
_chemical_formula_sum 'Nb3 Tl9 Se3 S9'
_space_group_name_H-M_alt 'R 3 m'
_space_group_IT_number 160
_space_group_name_Hall 'R 3 -2"'
_cell_length_a 11.1106
_cell_length_b 11.1106
_cell_length_c 6.8218
_cell_angle_alpha 90.00
_cell_angle_beta 90.00
_cell_angle_gamma 120.00
loop_
_atom_site_label
_atom_site_type_symbol
_atom_site_fract_x
_atom_site_fract_y
_atom_site_fract_z
Nb1 Nb 0.0000 0.0000 0.0000
Tl1 Tl 0.0029 0.5014 0.9991
Se1 Se 0.0000 0.0000 0.6416
S1 S 0.2209 0.4419 0.7767
```

Computed properties:
Its final energy is -0.351 Ry per atom.

No. 4
This record from OQMD describes a geometry-optimized Nb2Tl2SeS3 structure. The functional is PBE.

```
data_Nb2Tl2SeS3
_chemical_formula_sum 'Nb2 Tl2 Se1 S3'
_space_group_name_H-M_alt 'P 3 m 1'
_space_group_IT_number 156
_space_group_name_Hall 'P 3 -2"'
_cell_length_a 3.4039
_cell_length_b 3.4039
_cell_length_c 17.7587
_cell_angle_alpha 90.00
_cell_angle_beta 90.00
_cell_angle_gamma 120.00
loop_
_atom_site_label
_atom_site_type_symbol
_atom_site_fract_x
_atom_site_fract_y
_atom_site_fract_z
Nb1 Nb 0.0000 0.0000 0.0000
Nb2 Nb 0.0000 0.0000 0.4913
Tl1 Tl 0.3333 0.6667 0.2463
Tl2 Tl 0.6667 0.3333 0.7550
Se1 Se 0.3333 0.6667 0.5892
S1 S 0.3333 0.6667 0.9118
S2 S 0.6667 0.3333 0.0880
S3 S 0.6667 0.3333 0.4037
```

Computed properties:
Its final energy is -0.429 Ry per atom.

No. 5
This record from OQMD describes a geometry-optimized NbTl3Se2S2 structure. The functional is PBE.

```
data_NbTl3Se2S2
_chemical_formula_sum 'Nb4 Tl12 Se8 S8'
_space_group_name_H-M_alt 'F m m 2'
_space_group_IT_number 42
_space_group_name_Hall 'F 2 -2'
_cell_length_a 11.007
_cell_length_b 11.293
_cell_length_c 7.918
_cell_angle_alpha 90.00
_cell_angle_beta 90.00
_cell_angle_gamma 90.00
loop_
_atom_site_label
_atom_site_type_symbol
_atom_site_fract_x
_atom_site_fract_y
_atom_site_fract_z
Nb1 Nb 0.000 0.000 0.000
Tl1 Tl 0.000 0.000 0.492
Tl2 Tl 0.250 0.250 0.030
Se1 Se 0.000 0.179 0.827
S1 S 0.168 0.000 0.170
```

Computed properties:
Its final energy is -0.344 Ry per atom.

No. 6
This record from OQMD describes a geometry-optimized NbSnS2 structure. The functional is PBE.

```
data_NbSnS2
_chemical_formula_sum 'Nb2 Sn2 S4'
_space_group_name_H-M_alt 'P -3 m 1'
_space_group_IT_number 164
_space_group_name_Hall '-P 3 2"'
_cell_length_a 3.3497
_cell_length_b 3.3497
_cell_length_c 17.5344
_cell_angle_alpha 90.00
_cell_angle_beta 90.00
_cell_angle_gamma 120.00
loop_
_atom_site_label
_atom_site_type_symbol
_atom_site_fract_x
_atom_site_fract_y
_atom_site_fract_z
Nb1 Nb 0.3333 0.6667 0.2504
Sn1 Sn 0.0000 0.0000 0.0000
Sn2 Sn 0.0000 0.0000 0.5000
S1 S 0.0000 0.0000 0.1611
S2 S 0.0000 0.0000 0.3395
```

Computed properties:
Its final energy is -0.474 Ry per atom.

No. 7
This record from OQMD describes a geometry-optimized TaNbSn2S4 structure. The functional is PBE.

```
data_TaNbSn2S4
_chemical_formula_sum 'Ta1 Nb1 Sn2 S4'
_space_group_name_H-M_alt 'P -6 m 2'
_space_group_IT_number 187
_space_group_name_Hall 'P -6 2'
_cell_length_a 3.3393
_cell_length_b 3.3393
_cell_length_c 17.5839
_cell_angle_alpha 90.00
_cell_angle_beta 90.00
_cell_angle_gamma 120.00
loop_
_atom_site_label
_atom_site_type_symbol
_atom_site_fract_x
_atom_site_fract_y
_atom_site_fract_z
Ta1 Ta 0.0000 0.0000 0.0000
Nb1 Nb 0.6667 0.3333 0.5000
Sn1 Sn 0.3333 0.6667 0.2507
S1 S 0.3333 0.6667 0.0885
S2 S 0.3333 0.6667 0.4107
```

Computed properties:
Its final energy is -0.490 Ry per atom.

No. 8
This record from OQMD describes a geometry-optimized TaNbS4 structure. The functional is PBE.

```
data_TaNbS4
_chemical_formula_sum 'Ta2 Nb2 S8'
_space_group_name_H-M_alt 'A m m 2'
_space_group_IT_number 38
_space_group_name_Hall 'A 2 -2'
_cell_length_a 22.152
_cell_length_b 3.343
_cell_length_c 5.788
_cell_angle_alpha 90.00
_cell_angle_beta 90.00
_cell_angle_gamma 90.00
loop_
_atom_site_label
_atom_site_type_symbol
_atom_site_fract_x
_atom_site_fract_y
_atom_site_fract_z
Ta1 Ta 0.000 0.000 0.000
Nb1 Nb 0.500 0.000 0.500
S1 S 0.071 0.000 0.333
S2 S 0.429 0.000 0.833
```

Computed properties:
Its final energy is -0.547 Ry per atom.

No. 9
This record from OQMD describes a geometry-optimized TaNbS structure. The functional is PBE.

```
data_TaNbS
_chemical_formula_sum 'Ta2 Nb2 S2'
_space_group_name_H-M_alt 'P 4/n m m'
_space_group_IT_number 129
_cell_length_a 3.345
_cell_length_b 3.345
_cell_length_c 9.239
_cell_angle_alpha 90.00
_cell_angle_beta 90.00
_cell_angle_gamma 90.00
loop_
_space_group_symop_operation_xyz
'x,y,z'
'-x,-y,-z'
'-y+1/2,x,z'
'y+1/2,-x,-z'
'-x+1/2,-y+1/2,z'
'x+1/2,y+1/2,-z'
'y,-x+1/2,z'
'-y,x+1/2,-z'
'x+1/2,-y,-z'
'-x+1/2,y,z'
'-y,-x,-z'
'y,x,z'
'-x,y+1/2,-z'
'x,-y+1/2,z'
'y+1/2,x+1/2,-z'
'-y+1/2,-x+1/2,z'
loop_
_atom_site_label
_atom_site_type_symbol
_atom_site_fract_x
_atom_site_fract_y
_atom_site_fract_z
Ta1 Ta 0.250 0.250 0.084
Nb1 Nb 0.250 0.250 0.726
S1 S 0.250 0.250 0.376
```

Computed properties:
Its final energy is -0.686 Ry per atom.

No. 10
This record from OQMD describes a geometry-optimized TaNbS4 structure. The functional is PBE.

```
data_TaNbS4
_chemical_formula_sum 'Ta2 Nb2 S8'
_space_group_name_H-M_alt 'C m m 2'
_space_group_IT_number 35
_space_group_name_Hall 'C 2 -2'
_cell_length_a 3.341
_cell_length_b 21.840
_cell_length_c 5.803
_cell_angle_alpha 90.00
_cell_angle_beta 90.00
_cell_angle_gamma 90.00
loop_
_atom_site_label
_atom_site_type_symbol
_atom_site_fract_x
_atom_site_fract_y
_atom_site_fract_z
Ta1 Ta 0.000 0.000 0.000
Nb1 Nb 0.000 0.500 0.508
S1 S 0.000 0.072 0.673
S2 S 0.000 0.429 0.169
```

Computed properties:
Its final energy is -0.547 Ry per atom.

No. 11
This record from OQMD describes a geometry-optimized TaNbS4 structure. The functional is PBE.

```
data_TaNbS4
_chemical_formula_sum 'Ta2 Nb2 S8'
_space_group_name_H-M_alt 'A m m 2'
_space_group_IT_number 38
_space_group_name_Hall 'A 2 -2'
_cell_length_a 3.335
_cell_length_b 13.305
_cell_length_c 5.793
_cell_angle_alpha 90.00
_cell_angle_beta 90.00
_cell_angle_gamma 90.00
loop_
_atom_site_label
_atom_site_type_symbol
_atom_site_fract_x
_atom_site_fract_y
_atom_site_fract_z
Ta1 Ta 0.000 0.000 0.000
Nb1 Nb 0.500 0.000 0.512
S1 S 0.000 0.119 0.675
S2 S 0.500 0.116 0.172
```

Computed properties:
Its final energy is -0.547 Ry per atom.

No. 12
This record from OQMD describes a geometry-optimized Ta3NbS6 structure. The functional is PBE.

```
data_Ta3NbS6
_chemical_formula_sum 'Ta6 Nb2 S12'
_space_group_name_H-M_alt 'P 63 2 2'
_space_group_IT_number 182
_space_group_name_Hall 'P 6c 2c'
_cell_length_a 5.7744
_cell_length_b 5.7744
_cell_length_c 12.7624
_cell_angle_alpha 90.00
_cell_angle_beta 90.00
_cell_angle_gamma 120.00
loop_
_atom_site_label
_atom_site_type_symbol
_atom_site_fract_x
_atom_site_fract_y
_atom_site_fract_z
Ta1 Ta 0.0000 0.0000 0.0000
Ta2 Ta 0.3333 0.6667 0.0010
Nb1 Nb 0.3333 0.6667 0.7500
S1 S 0.0018 0.3324 0.3763
```

Computed properties:
Its final energy is -0.597 Ry per atom.

Question: Which formula does entry 8 have?
Answer: TaNbS4

Repeat the second record exactly.
This record from OQMD describes a geometry-optimized NbTlSeS structure. The functional is PBE.

```
data_NbTlSeS
_chemical_formula_sum 'Nb2 Tl2 Se2 S2'
_space_group_name_H-M_alt 'P -6 m 2'
_space_group_IT_number 187
_space_group_name_Hall 'P -6 2'
_cell_length_a 3.4253
_cell_length_b 3.4253
_cell_length_c 18.0123
_cell_angle_alpha 90.00
_cell_angle_beta 90.00
_cell_angle_gamma 120.00
loop_
_atom_site_label
_atom_site_type_symbol
_atom_site_fract_x
_atom_site_fract_y
_atom_site_fract_z
Nb1 Nb 0.0000 0.0000 0.2410
Tl1 Tl 0.3333 0.6667 0.0000
Tl2 Tl 0.6667 0.3333 0.5000
Se1 Se 0.3333 0.6667 0.3373
S1 S 0.6667 0.3333 0.1555
```

Computed properties:
Its final energy is -0.420 Ry per atom.

What did the seventh record say?
This record from OQMD describes a geometry-optimized TaNbSn2S4 structure. The functional is PBE.

```
data_TaNbSn2S4
_chemical_formula_sum 'Ta1 Nb1 Sn2 S4'
_space_group_name_H-M_alt 'P -6 m 2'
_space_group_IT_number 187
_space_group_name_Hall 'P -6 2'
_cell_length_a 3.3393
_cell_length_b 3.3393
_cell_length_c 17.5839
_cell_angle_alpha 90.00
_cell_angle_beta 90.00
_cell_angle_gamma 120.00
loop_
_atom_site_label
_atom_site_type_symbol
_atom_site_fract_x
_atom_site_fract_y
_atom_site_fract_z
Ta1 Ta 0.0000 0.0000 0.0000
Nb1 Nb 0.6667 0.3333 0.5000
Sn1 Sn 0.3333 0.6667 0.2507
S1 S 0.3333 0.6667 0.0885
S2 S 0.3333 0.6667 0.4107
```

Computed properties:
Its final energy is -0.490 Ry per atom.